# MnTc2Os, optimized geometry, DFT PBE
data_MnTc2Os
_chemical_formula_sum 'Mn1 Tc2 Os1'
_cell_length_a 2.696
_cell_length_b 3.804
_cell_length_c 5.399
_cell_angle_alpha 90.00
_cell_angle_beta 90.00
_cell_angle_gamma 90.00
_space_group_name_H-M_alt 'P m m 2'
_space_group_IT_number 25
loop_
_space_group_symop_operation_xyz
'x,y,z'
'-x,-y,z'
'-x,y,z'
'x,-y,z'
loop_
_atom_site_label
_atom_site_fract_x
_atom_site_fract_y
_atom_site_fract_z
Mn1 0.000 0.000 0.000
Tc1 0.000 0.000 0.495
Tc2 0.500 0.500 0.759
Os1 0.500 0.500 0.237
# M_tot = 1.4 μB/cell
# energy relative to the elements = 85 meV per atom
# crystal system = orthorhombic